Computed, not measured: an optimized crystal structure of AgCI2O at the PBE level of DFT.

abc: 6.425 6.425 2.956
angles: 90.00 90.00 90.00
Fractional coordinates of all 5 atoms:
1 Ag 0.000 0.000 0.000
2 C 0.500 0.500 0.500
3 I 0.000 0.500 0.500
4 I 0.500 0.000 0.500
5 O 0.500 0.500 0.000

- Final energy: -3.111 eV/atom
- Formation energy from raw total energies: 0.916 eV per atom
- Distance to the lowest polymorph of the same formula: 0.00 eV per formula unit

=====

Computed, not measured: an optimized crystal structure of CaPtSe at the PBE level of DFT.

abc: 3.907 5.477 7.413
angles: 81.81 74.80 69.13
Fractional coordinates of all 6 atoms:
1 Ca 0.029 0.208 0.232
2 Ca 0.971 0.792 0.768
3 Pt 0.254 0.603 0.390
4 Pt 0.746 0.397 0.610
5 Se 0.239 0.213 0.810
6 Se 0.761 0.787 0.190

- Final energy: -4.999 eV/atom
- Formation energy from raw total energies: -1.157 eV per atom

=====

Computed, not measured: an optimized crystal structure of SrTcRu3 at the PBE level of DFT.

abc: 4.670 4.670 4.670
angles: 90.00 90.00 90.00
Fractional coordinates of all 5 atoms:
1 Sr 0.000 0.000 0.000
2 Tc 0.500 0.500 0.500
3 Ru 0.000 0.000 0.500
4 Ru 0.000 0.500 0.000
5 Ru 0.500 0.000 0.000

- Final energy: -4.913 eV/atom
- Distance to the lowest polymorph of the same formula: 10.62 eV per formula unit
- Formation energy from the elements: 3.0616 eV/atom

=====

Computed, not measured: an optimized crystal structure of Sm6Y3Er2Sc at the PBE level of DFT.

abc: 6.187 6.187 11.714
angles: 95.03 95.03 119.98
Fractional coordinates of all 12 atoms:
1 Sm 0.082 0.413 0.246
2 Sm 0.249 0.249 0.754
3 Sm 0.413 0.082 0.246
4 Sm 0.587 0.918 0.754
5 Sm 0.751 0.751 0.246
6 Sm 0.918 0.587 0.754
7 Y 0.167 0.833 0.500
8 Y 0.500 0.500 0.500
9 Y 0.833 0.167 0.500
10 Er 0.333 0.667 0.000
11 Er 0.667 0.333 0.000
12 Sc 0.000 0.000 0.000

- Final energy: -5.238 eV/atom
- Formation energy from the elements: 0.0257 eV/atom

=====

Computed, not measured: an optimized crystal structure of K2AcTbO4 at the PBE level of DFT.

abc: 6.408 3.680 6.665
angles: 90.00 108.71 90.00
Fractional coordinates of all 8 atoms:
1 K 0.000 0.000 0.000
2 K 0.500 0.500 0.000
3 Ac 0.000 0.500 0.500
4 Tb 0.500 0.000 0.500
5 O 0.251 0.000 0.692
6 O 0.285 0.500 0.312
7 O 0.715 0.500 0.688
8 O 0.749 0.000 0.308

- Final energy: -6.470 eV/atom
- Formation energy from raw total energies: -2.624 eV per atom

=====

Computed, not measured: an optimized crystal structure of GaCoSe at the PBE level of DFT.

abc: 5.690 6.077 6.175
angles: 90.00 116.49 90.00
Fractional coordinates of all 12 atoms:
1 Ga 0.149 0.171 0.305
2 Ga 0.149 0.329 0.805
3 Ga 0.851 0.671 0.195
4 Ga 0.851 0.829 0.695
5 Co 0.269 0.521 0.510
6 Co 0.269 0.979 0.010
7 Co 0.731 0.021 0.990
8 Co 0.731 0.479 0.490
9 Se 0.340 0.615 0.176
10 Se 0.340 0.885 0.676
11 Se 0.660 0.115 0.324
12 Se 0.660 0.385 0.824

- Final energy: -4.810 eV/atom
- Formation energy from raw total energies: -0.271 eV per atom

=====

Computed, not measured: an optimized crystal structure of ReRh2Se at the PBE level of DFT.

abc: 6.715 6.715 6.715
angles: 130.11 130.11 73.23
Fractional coordinates of all 8 atoms:
1 Re 0.000 0.000 0.000
2 Re 0.750 0.250 0.500
3 Rh 0.117 0.625 0.992
4 Rh 0.375 0.367 0.492
5 Rh 0.633 0.125 0.008
6 Rh 0.875 0.883 0.508
7 Se 0.250 0.750 0.500
8 Se 0.500 0.500 0.000

- Final energy: -7.080 eV/atom
- Formation energy from raw total energies: 0.579 eV per atom

=====

Computed, not measured: an optimized crystal structure of Mo4AsW at the PBE level of DFT.

abc: 5.213 5.213 5.213
angles: 60.00 60.00 60.00
Fractional coordinates of all 6 atoms:
1 Mo 0.125 0.125 0.125
2 Mo 0.125 0.125 0.624
3 Mo 0.125 0.624 0.125
4 Mo 0.624 0.125 0.125
5 As 0.500 0.500 0.500
6 W 0.750 0.750 0.750

- Final energy: -9.632 eV/atom
- Formation energy from the elements: 0.5227 eV/atom

=====

Computed, not measured: an optimized crystal structure of Ca2AcTcN4 at the PBE level of DFT.

abc: 6.418 6.418 12.069
angles: 90.00 90.00 148.33
Fractional coordinates of all 16 atoms:
1 Ca 0.124 0.876 0.537
2 Ca 0.124 0.876 0.963
3 Ca 0.876 0.124 0.037
4 Ca 0.876 0.124 0.463
5 Ac 0.431 0.569 0.750
6 Ac 0.569 0.431 0.250
7 Tc 0.314 0.686 0.250
8 Tc 0.686 0.314 0.750
9 N 0.092 0.908 0.750
10 N 0.232 0.768 0.127
11 N 0.232 0.768 0.373
12 N 0.500 0.500 0.000
13 N 0.500 0.500 0.500
14 N 0.768 0.232 0.627
15 N 0.768 0.232 0.873
16 N 0.908 0.092 0.250

- Final energy: -7.181 eV/atom
- Formation energy from raw total energies: -0.708 eV per atom

=====

Computed, not measured: an optimized crystal structure of Li2Sm3DySe6 at the PBE level of DFT.

abc: 7.094 7.094 7.084
angles: 99.61 99.61 120.00
Fractional coordinates of all 12 atoms:
1 Li 0.167 0.833 0.000
2 Li 0.833 0.167 0.000
3 Sm 0.000 0.000 0.500
4 Sm 0.333 0.667 0.500
5 Sm 0.667 0.333 0.500
6 Dy 0.500 0.500 0.000
7 Se 0.084 0.421 0.764
8 Se 0.242 0.242 0.237
9 Se 0.421 0.084 0.764
10 Se 0.579 0.916 0.236
11 Se 0.758 0.758 0.763
12 Se 0.916 0.579 0.236

- Final energy: -5.361 eV/atom
- Formation energy from raw total energies: -1.736 eV per atom

=====

Computed, not measured: an optimized crystal structure of K3PbAu at the PBE level of DFT.

abc: 12.805 12.805 4.953
angles: 90.00 90.00 90.00
Fractional coordinates of all 20 atoms:
1 K 0.005 0.317 0.000
2 K 0.112 0.888 0.500
3 K 0.183 0.505 0.500
4 K 0.317 0.005 0.000
5 K 0.388 0.388 0.000
6 K 0.495 0.817 0.500
7 K 0.505 0.183 0.500
8 K 0.612 0.612 0.000
9 K 0.683 0.995 0.000
10 K 0.817 0.495 0.500
11 K 0.888 0.112 0.500
12 K 0.995 0.683 0.000
13 Pb 0.176 0.176 0.500
14 Pb 0.324 0.676 0.000
15 Pb 0.676 0.324 0.000
16 Pb 0.824 0.824 0.500
17 Au 0.080 0.080 0.000
18 Au 0.420 0.580 0.500
19 Au 0.580 0.420 0.500
20 Au 0.920 0.920 0.000

- Final energy: -2.214 eV/atom
- Distance to the lowest polymorph of the same formula: 0.00 eV per formula unit
- Formation energy from the elements: -0.1587 eV/atom

=====

Computed, not measured: an optimized crystal structure of HfGa2AgC at the PBE level of DFT.

abc: 5.048 5.048 3.887
angles: 90.00 90.00 90.00
Fractional coordinates of all 5 atoms:
1 Hf 0.000 0.000 0.000
2 Ga 0.000 0.500 0.500
3 Ga 0.500 0.000 0.500
4 Ag 0.500 0.500 0.500
5 C 0.500 0.500 0.000

- Final energy: -4.302 eV/atom
- Formation energy from the elements: 1.3143 eV/atom

=====

Computed, not measured: an optimized crystal structure of Li2TeCl6 at the PBE level of DFT.

abc: 6.165 6.165 11.523
angles: 90.00 90.00 90.00
Fractional coordinates of all 18 atoms:
1 Li 0.000 0.000 0.168
2 Li 0.000 0.000 0.832
3 Li 0.500 0.500 0.332
4 Li 0.500 0.500 0.668
5 Te 0.000 0.000 0.500
6 Te 0.500 0.500 0.000
7 Cl 0.196 0.196 0.333
8 Cl 0.196 0.196 0.667
9 Cl 0.202 0.202 0.000
10 Cl 0.298 0.702 0.500
11 Cl 0.304 0.696 0.167
12 Cl 0.304 0.696 0.833
13 Cl 0.696 0.304 0.167
14 Cl 0.696 0.304 0.833
15 Cl 0.702 0.298 0.500
16 Cl 0.798 0.798 0.000
17 Cl 0.804 0.804 0.333
18 Cl 0.804 0.804 0.667

- Final energy: -3.109 eV/atom
- Formation energy from raw total energies: -1.104 eV per atom
- Distance to the lowest polymorph of the same formula: 0.15 eV per formula unit

=====

Computed, not measured: an optimized crystal structure of Th6Co2Te3Os at the PBE level of DFT.

abc: 9.878 9.878 9.022
angles: 110.30 110.30 24.33
Fractional coordinates of all 12 atoms:
1 Th 0.015 0.015 0.227
2 Th 0.319 0.319 0.445
3 Th 0.344 0.344 0.886
4 Th 0.656 0.656 0.114
5 Th 0.681 0.681 0.555
6 Th 0.985 0.985 0.773
7 Co 0.169 0.169 0.336
8 Co 0.831 0.831 0.664
9 Te 0.165 0.165 0.831
10 Te 0.500 0.500 0.500
11 Te 0.835 0.835 0.169
12 Os 0.500 0.500 0.000

- Final energy: -7.394 eV/atom
- Formation energy from raw total energies: -0.778 eV per atom

=====

Computed, not measured: an optimized crystal structure of Ag3Pd5 at the PBE level of DFT.

abc: 5.739 5.739 3.949
angles: 90.00 90.00 91.01
Fractional coordinates of all 8 atoms:
1 Ag 0.000 0.000 0.000
2 Ag 0.250 0.250 0.500
3 Ag 0.750 0.750 0.500
4 Pd 0.000 0.500 0.000
5 Pd 0.255 0.745 0.500
6 Pd 0.500 0.000 0.000
7 Pd 0.500 0.500 0.000
8 Pd 0.745 0.255 0.500

- Final energy: -4.324 eV/atom
- Distance to the lowest polymorph of the same formula: 0.05 eV per formula unit
- Formation energy from the elements: -0.0090 eV/atom